(1)
NbGePO2, relaxed, DFT GGA-PBEsol; formation energy without anion corrections = -1.127 eV/atom
1.0
3.903 0.000 0.000
0.000 3.903 0.000
0.000 0.000 5.170
Nb Ge P O
1 1 1 2
Cartesian
0.000 0.000 0.000
1.952 1.952 2.585
0.000 0.000 2.585
0.000 1.952 0.000
1.952 0.000 0.000

(2)
BeIr2Rh, relaxed, DFT GGA-PBEsol; energy of formation = -0.251 eV per atom
1.0
2.737 0.000 0.000
0.000 2.737 0.000
0.000 0.000 6.536
Be Ir Rh
1 2 1
Cartesian
0.000 0.000 0.000
1.368 1.368 1.388
1.368 1.368 5.148
0.000 0.000 3.268

(3)
CaLaAl4, relaxed, DFT GGA-PBEsol; energy of formation = -0.404 eV per atom
1.0
0.000 4.003 4.003
4.003 0.000 4.003
4.003 4.003 0.000
Ca La Al
1 1 4
Cartesian
0.000 0.000 0.000
2.001 2.001 2.001
5.001 3.005 3.005
3.005 5.001 3.005
3.005 3.005 5.001
5.001 5.001 5.001

(4)
YMoClO4, relaxed, DFT GGA-PBEsol; formation energy without anion corrections = -2.524 eV/atom
1.0
5.079 -3.609 0.000
5.079 3.609 0.000
-2.036 0.000 6.475
Y Mo Cl O
2 2 2 8
Cartesian
2.030 0.000 0.714
6.092 0.000 5.761
2.187 0.000 4.743
5.935 0.000 1.731
-1.465 0.000 4.945
9.587 0.000 1.529
1.319 1.375 5.480
2.047 0.000 3.013
4.243 0.000 1.289
1.319 -1.375 5.480
6.803 1.375 0.995
3.879 0.000 5.186
6.075 0.000 3.462
6.803 -1.375 0.995

(5)
SrLaRe2, relaxed, DFT GGA-PBEsol; energy of formation = 1.348 eV per atom
1.0
0.000 3.532 3.532
3.532 0.000 3.532
3.532 3.532 0.000
Sr La Re
1 1 2
Cartesian
0.000 0.000 0.000
3.532 3.532 3.532
1.766 1.766 1.766
5.297 5.297 5.297

(6)
PtAu3, relaxed, DFT GGA-PBEsol; energy of formation = 0.034 eV per atom
1.0
4.895 0.000 0.000
0.000 9.452 0.000
0.000 0.000 5.678
Pt Au
4 12
Cartesian
0.416 2.363 0.731
2.032 7.089 3.570
2.863 2.363 2.108
4.479 7.089 4.947
0.397 2.363 3.542
1.202 4.738 4.967
1.202 9.441 4.967
1.246 0.012 2.128
1.246 4.714 2.128
2.051 7.089 0.703
2.844 2.363 4.975
3.649 4.738 3.550
3.649 9.441 3.550
3.693 0.012 0.711
3.693 4.714 0.711
4.498 7.089 2.136

(7)
LiHIr3, relaxed, DFT GGA-PBEsol; final energy = -33.99 eV for the cell shown
1.0
3.848 0.000 0.000
0.000 3.848 0.000
0.000 0.000 3.848
Li H Ir
1 1 3
Cartesian
0.000 0.000 0.000
1.924 1.924 1.924
0.000 1.924 1.924
1.924 0.000 1.924
1.924 1.924 0.000

(8)
LiBeTc3, relaxed, DFT GGA-PBEsol; energy of formation = 0.939 eV per atom
1.0
4.095 0.000 0.000
0.000 4.095 0.000
0.000 0.000 4.095
Li Be Tc
1 1 3
Cartesian
0.000 0.000 0.000
2.047 2.047 2.047
0.000 2.047 2.047
2.047 0.000 2.047
2.047 2.047 0.000

(9)
CoCuCl2, relaxed, DFT GGA-PBEsol; formation energy without anion corrections = 0.144 eV/atom; energy above the lowest structure with this stoichiometry = 101 meV/atom
1.0
-1.559 2.941 3.522
1.559 -2.941 3.522
1.559 2.941 -3.522
Co Cu Cl
1 1 2
Cartesian
0.000 0.000 0.000
0.000 0.000 3.522
1.559 0.000 1.704
0.000 2.941 1.819

(10)
TaAlCo, relaxed, DFT GGA-PBEsol; energy of formation = -0.340 eV per atom
1.0
-1.423 1.423 5.070
1.423 -1.423 5.070
1.423 1.423 -5.070
Ta Al Co
1 1 1
Cartesian
0.000 0.000 0.000
0.000 0.000 3.075
0.000 0.000 6.744

(11)
LiAl, relaxed, DFT GGA-PBEsol; energy of formation = -0.082 eV per atom
1.0
2.824 0.000 0.000
0.000 2.824 0.000
0.000 0.000 8.579
Li Al
2 2
Cartesian
0.706 0.706 1.258
2.118 2.118 7.321
0.706 0.706 5.282
2.118 2.118 3.297

(12)
KTlHgRh2, relaxed, DFT GGA-PBEsol; energy of formation = 1.078 eV per atom
1.0
5.004 0.000 0.000
0.000 5.004 0.000
0.000 0.000 5.459
K Tl Hg Rh
1 1 1 2
Cartesian
0.000 0.000 0.000
2.502 2.502 0.000
0.000 0.000 2.730
0.000 2.502 2.730
2.502 0.000 2.730

(13)
Zr2RuPb, relaxed, DFT GGA-PBEsol; energy of formation = -0.157 eV per atom
1.0
4.377 0.000 0.000
0.000 4.377 0.000
0.000 0.000 4.038
Zr Ru Pb
2 1 1
Cartesian
0.000 2.189 0.000
2.189 0.000 0.000
0.000 0.000 2.019
2.189 2.189 2.019

(14)
La3Mg, relaxed, DFT GGA-PBEsol; energy of formation = -0.014 eV per atom
1.0
-1.926 2.872 5.811
1.926 -2.872 5.811
1.926 2.872 -5.811
La Mg
3 1
Cartesian
0.000 0.000 0.000
1.926 0.000 3.079
0.000 2.872 2.731
0.000 0.000 5.811

(15)
Ca2ScOs, relaxed, DFT GGA-PBEsol; energy of formation = 0.171 eV per atom; energy above the lowest structure with this stoichiometry = 53 meV/atom
1.0
-1.742 2.705 5.355
1.742 -2.705 5.355
1.742 2.705 -5.355
Ca Sc Os
2 1 1
Cartesian
0.000 0.000 0.000
0.000 2.705 2.077
0.000 0.000 4.088
1.742 0.000 2.309

(16)
ZnCuNi2, relaxed, DFT GGA-PBEsol; energy of formation = -0.077 eV per atom
1.0
2.537 0.000 0.000
0.000 2.537 0.000
0.000 0.000 6.926
Zn Cu Ni
1 1 2
Cartesian
0.000 0.000 0.000
1.269 1.269 1.852
0.000 0.000 3.558
1.269 1.269 5.203

(17)
RbLiMgB2, relaxed, DFT GGA-PBEsol; energy of formation = 1.612 eV per atom
1.0
4.559 0.000 0.000
0.000 4.559 0.000
0.000 0.000 5.594
Rb Li Mg B
1 1 1 2
Cartesian
0.000 0.000 0.000
2.280 2.280 0.000
0.000 0.000 2.797
0.000 2.280 2.797
2.280 0.000 2.797

(18)
KTa2Hg, relaxed, DFT GGA-PBEsol; energy of formation = 0.985 eV per atom
1.0
2.819 0.000 0.000
0.000 5.659 0.000
-0.423 0.000 5.395
K Ta Hg
1 2 1
Cartesian
0.000 0.000 0.000
0.506 2.829 3.935
1.891 2.829 1.460
1.198 0.000 2.697

(19)
Mg2Sb2Pb, relaxed, DFT GGA-PBEsol; formation energy without anion corrections = -0.117 eV/atom; energy above the lowest structure with this stoichiometry = 9 meV/atom
1.0
-2.220 2.220 6.957
2.220 -2.220 6.957
2.220 2.220 -6.957
Mg Sb Pb
2 2 1
Cartesian
2.220 0.000 3.479
0.000 2.220 3.479
0.000 0.000 1.633
0.000 0.000 12.281
0.000 0.000 6.957

(20)
TaSiSnO2, relaxed, DFT GGA-PBEsol; formation energy without anion corrections = 0.200 eV/atom
1.0
3.811 0.000 0.000
0.000 3.811 0.000
0.000 0.000 6.298
Ta Si Sn O
1 1 1 2
Cartesian
0.000 0.000 0.000
1.906 1.906 0.000
0.000 0.000 3.149
0.000 1.906 3.149
1.906 0.000 3.149

(21)
HfTiTc3, relaxed, DFT GGA-PBEsol; energy of formation = 0.904 eV per atom
1.0
4.446 0.000 0.000
0.000 4.446 0.000
0.000 0.000 4.446
Hf Ti Tc
1 1 3
Cartesian
0.000 0.000 0.000
2.223 2.223 2.223
0.000 2.223 2.223
2.223 0.000 2.223
2.223 2.223 0.000

(22)
Y2NiAu, relaxed, DFT GGA-PBEsol; energy of formation = -0.366 eV per atom
1.0
-2.064 2.064 4.695
2.064 -2.064 4.695
2.064 2.064 -4.695
Y Ni Au
2 1 1
Cartesian
0.000 0.000 0.000
0.000 2.064 2.348
2.064 0.000 2.348
0.000 0.000 4.695

(23)
Li2Cu, relaxed, DFT GGA-PBEsol; energy of formation = 0.251 eV per atom
1.0
0.000 3.384 3.384
3.384 0.000 3.384
3.384 3.384 0.000
Li Cu
4 2
Cartesian
0.000 0.000 0.000
1.692 1.692 0.000
1.692 0.000 1.692
0.000 1.692 1.692
2.538 2.538 2.538
4.229 4.229 4.229

(24)
Zn2CoIr, relaxed, DFT GGA-PBEsol; energy of formation = -0.026 eV per atom
1.0
-1.439 2.095 4.221
1.439 -2.095 4.221
1.439 2.095 -4.221
Zn Co Ir
2 1 1
Cartesian
0.000 0.000 0.000
0.000 2.095 2.076
1.439 0.000 2.037
0.000 0.000 4.108

(25)
ThPb3, relaxed, DFT GGA-PBEsol; energy of formation = -0.271 eV per atom
1.0
4.823 0.000 0.000
0.000 4.823 0.000
0.000 0.000 4.823
Th Pb
1 3
Cartesian
0.000 0.000 0.000
0.000 2.412 2.412
2.412 0.000 2.412
2.412 2.412 0.000

(26)
ZrTe2Mo, relaxed, DFT GGA-PBEsol; formation energy without anion corrections = -0.270 eV/atom; energy above the lowest structure with this stoichiometry = 0 meV/atom
1.0
4.851 -1.753 0.000
4.851 1.753 0.000
-1.223 0.000 4.840
Zr Te Mo
1 2 1
Cartesian
0.000 0.000 0.000
4.229 0.000 2.473
6.995 0.000 0.616
1.404 0.000 3.207

(27)
Ca2InPb2, relaxed, DFT GGA-PBEsol; energy of formation = -0.430 eV per atom
1.0
7.863 0.000 0.000
0.000 7.863 0.000
0.000 0.000 4.742
Ca In Pb
4 2 4
Cartesian
1.317 2.614 0.000
2.614 6.546 0.000
5.249 1.317 0.000
6.546 5.249 0.000
0.000 0.000 2.371
3.932 3.932 2.371
1.084 5.016 2.371
2.848 1.084 2.371
5.016 6.779 2.371
6.779 2.848 2.371

(28)
CaMn2Se, relaxed, DFT GGA-PBEsol; formation energy without anion corrections = 0.138 eV/atom
1.0
-1.966 1.966 4.958
1.966 -1.966 4.958
1.966 1.966 -4.958
Ca Mn Se
1 2 1
Cartesian
0.000 0.000 0.000
1.966 0.000 2.479
0.000 1.966 2.479
0.000 0.000 4.958

Number 1: M_tot 0.00 Bohr magnetons per cell. Number 2: M_tot 0.00 Bohr magnetons per cell. Number 3: M_tot 0.00 Bohr magnetons per cell. Number 4: M_tot 0.00 Bohr magnetons per cell. Number 5: M_tot 2.43 Bohr magnetons per cell. Number 6: M_tot 0.00 Bohr magnetons per cell. Number 7: M_tot 0.00 Bohr magnetons per cell. Number 8: M_tot 0.00 Bohr magnetons per cell. Number 9: M_tot 1.88 Bohr magnetons per cell. Number 10: M_tot 0.00 Bohr magnetons per cell. Number 11: M_tot 0.00 Bohr magnetons per cell. Number 12: M_tot 0.00 Bohr magnetons per cell. Number 13: M_tot 0.00 Bohr magnetons per cell. Number 14: M_tot 0.00 Bohr magnetons per cell. Number 15: M_tot 0.00 Bohr magnetons per cell. Number 16: M_tot 0.09 Bohr magnetons per cell. Number 17: M_tot 0.00 Bohr magnetons per cell. Number 18: M_tot 0.00 Bohr magnetons per cell. Number 19: M_tot 0.00 Bohr magnetons per cell. Number 20: M_tot 0.98 Bohr magnetons per cell. Number 21: M_tot 0.00 Bohr magnetons per cell. Number 22: M_tot 0.00 Bohr magnetons per cell. Number 23: M_tot 0.00 Bohr magnetons per cell. Number 24: M_tot 1.60 Bohr magnetons per cell. Number 25: M_tot 0.00 Bohr magnetons per cell. Number 26: M_tot 0.00 Bohr magnetons per cell. Number 27: M_tot 0.00 Bohr magnetons per cell. Number 28: M_tot 7.70 Bohr magnetons per cell.